Record 1
Nd2AlPt5 | GGA-PBE | relaxed

Unit cell a=6.266 b=6.266 c=8.317 alpha=90.00 beta=90.00 gamma=90.00
Fractional coordinates of all 16 atoms:
Nd 0.000 0.500 0.000
Nd 0.000 0.500 0.500
Nd 0.500 0.000 0.000
Nd 0.500 0.000 0.500
Al 0.000 0.000 0.285
Al 0.500 0.500 0.785
Pt 0.000 0.000 0.984
Pt 0.226 0.226 0.746
Pt 0.226 0.774 0.746
Pt 0.274 0.274 0.246
Pt 0.274 0.726 0.246
Pt 0.500 0.500 0.484
Pt 0.726 0.274 0.246
Pt 0.726 0.726 0.246
Pt 0.774 0.226 0.746
Pt 0.774 0.774 0.746

- SG: I4mm (107)
- Formation enthalpy at 0 K: -933 meV per atom
- Raw total energy: -6.37 eV per atom


Record 2
Zn2Cu2Hg | GGA-PBE | relaxed

Unit cell a=7.128 b=7.128 c=2.975 alpha=90.00 beta=90.00 gamma=90.00
Fractional coordinates of all 10 atoms:
Zn 0.132 0.368 0.000
Zn 0.368 0.868 0.000
Zn 0.632 0.132 0.000
Zn 0.868 0.632 0.000
Cu 0.161 0.661 0.500
Cu 0.339 0.161 0.500
Cu 0.661 0.839 0.500
Cu 0.839 0.339 0.500
Hg 0.000 0.000 0.000
Hg 0.500 0.500 0.000

- SG: P4/mbm (127)
- Formation enthalpy at 0 K: 71 meV per atom
- ΔE to the lowest computed polymorph: 28 meV per atom
- Raw total energy: -2.14 eV per atom


Record 3
FeCu2SnN | GGA-PBE | relaxed

Unit cell a=4.433 b=4.433 c=4.913 alpha=90.00 beta=90.00 gamma=90.00
Fractional coordinates of all 5 atoms:
Fe 0.000 0.000 0.000
Cu 0.000 0.500 0.000
Cu 0.500 0.000 0.000
Sn 0.000 0.000 0.500
N 0.500 0.500 0.500

- Raw formation energy: 1.659 eV per atom
- SG: P4/mmm (123)
- Raw total energy: -4.14 eV per atom


Record 4
Dy4PuS5 | GGA-PBE | relaxed

Unit cell a=10.335 b=10.335 c=10.335 alpha=158.10 beta=148.98 gamma=38.29
Fractional coordinates of all 10 atoms:
Dy 0.099 0.099 0.000
Dy 0.302 0.302 0.000
Dy 0.698 0.698 0.000
Dy 0.901 0.901 0.000
Pu 0.500 0.500 0.000
S 0.000 0.500 0.500
S 0.200 0.700 0.500
S 0.399 0.899 0.500
S 0.601 0.101 0.500
S 0.800 0.300 0.500

- Raw formation energy: -1.968 eV per atom
- SG: Immm (71)
- Raw total energy: -7.31 eV per atom


Record 5
LaPBr4 | GGA-PBE | relaxed

Unit cell a=6.202 b=6.202 c=6.202 alpha=60.00 beta=60.00 gamma=60.00
Fractional coordinates of all 6 atoms:
La 0.000 0.000 0.000
P 0.750 0.750 0.750
Br 0.375 0.375 0.375
Br 0.375 0.375 0.876
Br 0.375 0.876 0.375
Br 0.876 0.375 0.375

- Raw formation energy: 0.046 eV per atom
- SG: F-43m (216)
- Raw total energy: -2.79 eV per atom


Record 6
LaGe2 | GGA-PBE | relaxed

Unit cell a=5.773 b=5.773 c=5.773 alpha=60.00 beta=60.00 gamma=60.00
Fractional coordinates of all 6 atoms:
La 0.125 0.125 0.125
La 0.875 0.875 0.875
Ge 0.000 0.500 0.500
Ge 0.500 0.000 0.500
Ge 0.500 0.500 0.000
Ge 0.500 0.500 0.500

- SG: Fd-3m (227)
- Formation enthalpy at 0 K: -463 meV per atom
- Raw total energy: -5.18 eV per atom